Entry 1:
This record from Alexandria describes DyH3 after structural relaxation. The functional is PBE.

Calculated values
* density of states at the Fermi level: 0.17 states/eV/f.u.
* E_tot: -4.2848 eV per atom

Lattice parameters (Å, degrees): 3.6499 3.6499 6.5485 90.00 90.00 120.00
Fractional coordinates of all 8 atoms:
Dy  0.3333  0.6667  0.2500
Dy  0.6667  0.3333  0.7500
H  0.0000  0.0000  0.2500
H  0.0000  0.0000  0.7500
H  0.3333  0.6667  0.5941
H  0.3333  0.6667  0.9059
H  0.6667  0.3333  0.0941
H  0.6667  0.3333  0.4059



Entry 2:
This record from Alexandria describes MnZn2Co after structural relaxation. The functional is PBE.

Calculated values
* density of states at the Fermi level: 2.40 states/eV/f.u.
* E_tot: -4.7173 eV per atom

Lattice parameters (Å, degrees): 3.6777 3.6777 3.8233 90.00 90.00 90.00
Fractional coordinates of all 4 atoms:
Mn  0.0000  0.0000  0.0000
Zn  0.0000  0.5000  0.5000
Zn  0.5000  0.0000  0.5000
Co  0.5000  0.5000  0.0000



Entry 3:
This record from Alexandria describes Ce5Pd after structural relaxation. The functional is PBE.

Calculated values
* density of states at the Fermi level: 17.22 states/eV/f.u.
* E_tot: -5.9231 eV per atom

Lattice parameters (Å, degrees): 8.1493 8.1493 4.2812 90.00 90.00 149.47
Fractional coordinates of all 6 atoms:
Ce  0.0000  0.0000  0.0000
Ce  0.1723  0.8277  0.5000
Ce  0.3351  0.6649  0.0000
Ce  0.6649  0.3351  0.0000
Ce  0.8277  0.1723  0.5000
Pd  0.5000  0.5000  0.5000



Entry 4:
This record from Alexandria describes TiAlAg3 after structural relaxation. The functional is PBE.

Calculated values
* density of states at the Fermi level: 4.14 states/eV/f.u.
* E_tot: -3.4094 eV per atom

Lattice parameters (Å, degrees): 4.7588 4.7588 4.7588 90.00 90.00 90.00
Fractional coordinates of all 5 atoms:
Ti  0.0000  0.0000  0.0000
Al  0.5000  0.5000  0.5000
Ag  0.0000  0.5000  0.5000
Ag  0.5000  0.0000  0.5000
Ag  0.5000  0.5000  0.0000



Entry 5:
This record from Alexandria describes La2Se2S after structural relaxation. The functional is PBE.

Calculated values
* E_tot: -6.2283 eV per atom

Lattice parameters (Å, degrees): 9.1186 9.1186 7.4510 90.00 90.00 152.77
Fractional coordinates of all 10 atoms:
La  0.0529  0.9471  0.5000
La  0.3160  0.6840  0.4735
La  0.6840  0.3160  0.9735
La  0.9471  0.0529  0.0000
Se  0.3078  0.6922  0.0361
Se  0.4672  0.5328  0.2958
Se  0.5328  0.4672  0.7958
Se  0.6922  0.3078  0.5361
S  0.1089  0.8911  0.1368
S  0.8911  0.1089  0.6368



Entry 6:
This record from Alexandria describes AgSnBi2H after structural relaxation. The functional is PBE.

Calculated values
* density of states at the Fermi level: 1.27 states/eV/f.u.
* E_tot: -3.3881 eV per atom

Lattice parameters (Å, degrees): 5.9007 5.9007 3.4617 90.00 90.00 90.00
Fractional coordinates of all 5 atoms:
Ag  0.0000  0.0000  0.0000
Sn  0.5000  0.5000  0.5000
Bi  0.0000  0.5000  0.0000
Bi  0.5000  0.0000  0.0000
H  0.0000  0.0000  0.5000



Entry 7:
This record from Alexandria describes SrCdRe after structural relaxation. The functional is PBE.

Calculated values
* density of states at the Fermi level: 2.27 states/eV/f.u.
* E_tot: -3.2991 eV per atom

Lattice parameters (Å, degrees): 5.1101 5.1101 5.1101 60.00 60.00 60.00
Fractional coordinates of all 3 atoms:
Sr  0.0000  0.0000  0.0000
Cd  0.7500  0.7500  0.7500
Re  0.2500  0.2500  0.2500



Entry 8:
This record from Alexandria describes Sm12Fe3N5 after structural relaxation. The functional is PBE.

Calculated values
* density of states at the Fermi level: 14.34 states/eV/f.u.
* E_tot: -6.6799 eV per atom

Lattice parameters (Å, degrees): 13.3282 13.3282 13.3282 109.47 109.47 109.47
Fractional coordinates of all 80 atoms:
Sm  0.0271  0.2074  0.1223
Sm  0.0271  0.3198  0.9049
Sm  0.0851  0.7074  0.6802
Sm  0.0851  0.8777  0.4049
Sm  0.0951  0.6223  0.4149
Sm  0.0951  0.9729  0.6802
Sm  0.1223  0.0271  0.2074
Sm  0.1223  0.5951  0.9149
Sm  0.1802  0.2074  0.5851
Sm  0.1802  0.4729  0.5951
Sm  0.2074  0.1223  0.0271
Sm  0.2074  0.5851  0.1802
Sm  0.2926  0.3198  0.9149
Sm  0.2926  0.4729  0.3777
Sm  0.3198  0.9049  0.0271
Sm  0.3198  0.9149  0.2926
Sm  0.3777  0.2926  0.4729
Sm  0.3777  0.5851  0.9049
Sm  0.4049  0.0851  0.8777
Sm  0.4049  0.8198  0.5271
Sm  0.4149  0.0951  0.6223
Sm  0.4149  0.8198  0.7926
Sm  0.4729  0.3777  0.2926
Sm  0.4729  0.5951  0.1802
Sm  0.5271  0.4049  0.8198
Sm  0.5271  0.6223  0.7074
Sm  0.5851  0.1802  0.2074
Sm  0.5851  0.9049  0.3777
Sm  0.5951  0.1802  0.4729
Sm  0.5951  0.9149  0.1223
Sm  0.6223  0.4149  0.0951
Sm  0.6223  0.7074  0.5271
Sm  0.6802  0.0851  0.7074
Sm  0.6802  0.0951  0.9729
Sm  0.7074  0.5271  0.6223
Sm  0.7074  0.6802  0.0851
Sm  0.7926  0.4149  0.8198
Sm  0.7926  0.8777  0.9729
Sm  0.8198  0.5271  0.4049
Sm  0.8198  0.7926  0.4149
Sm  0.8777  0.4049  0.0851
Sm  0.8777  0.9729  0.7926
Sm  0.9049  0.0271  0.3198
Sm  0.9049  0.3777  0.5851
Sm  0.9149  0.1223  0.5951
Sm  0.9149  0.2926  0.3198
Sm  0.9729  0.6802  0.0951
Sm  0.9729  0.7926  0.8777
Fe  0.1250  0.2500  0.3750
Fe  0.1250  0.3750  0.7500
Fe  0.2500  0.3750  0.1250
Fe  0.2500  0.8750  0.6250
Fe  0.3750  0.1250  0.2500
Fe  0.3750  0.7500  0.1250
Fe  0.6250  0.2500  0.8750
Fe  0.6250  0.8750  0.7500
Fe  0.7500  0.1250  0.3750
Fe  0.7500  0.6250  0.8750
Fe  0.8750  0.6250  0.2500
Fe  0.8750  0.7500  0.6250
N  0.0000  0.0000  0.0000
N  0.0000  0.0000  0.5000
N  0.0000  0.5000  0.0000
N  0.0000  0.5000  0.5000
N  0.1250  0.7500  0.8750
N  0.1250  0.8750  0.2500
N  0.2500  0.1250  0.8750
N  0.2500  0.6250  0.3750
N  0.3750  0.2500  0.6250
N  0.3750  0.6250  0.7500
N  0.5000  0.0000  0.0000
N  0.5000  0.0000  0.5000
N  0.5000  0.5000  0.0000
N  0.5000  0.5000  0.5000
N  0.6250  0.3750  0.2500
N  0.6250  0.7500  0.3750
N  0.7500  0.3750  0.6250
N  0.7500  0.8750  0.1250
N  0.8750  0.1250  0.7500
N  0.8750  0.2500  0.1250



Entry 9:
This record from Alexandria describes PmMgH after structural relaxation. The functional is PBE.

Calculated values
* density of states at the Fermi level: 1.67 states/eV/f.u.
* E_tot: -3.3517 eV per atom

Lattice parameters (Å, degrees): 3.5282 3.5282 5.6703 90.00 90.00 120.00
Fractional coordinates of all 3 atoms:
Pm  0.0000  0.0000  0.0000
Mg  0.3333  0.6667  0.4884
H  0.6667  0.3333  0.1991



Entry 10:
This record from Alexandria describes PuSc2Se after structural relaxation. The functional is PBE.

Calculated values
* density of states at the Fermi level: 10.42 states/eV/f.u.
* E_tot: -8.0344 eV per atom

Lattice parameters (Å, degrees): 9.7257 9.7257 9.7257 20.82 20.82 20.82
Fractional coordinates of all 4 atoms:
Pu  0.0000  0.0000  0.0000
Sc  0.1066  0.1066  0.1066
Sc  0.8934  0.8934  0.8934
Se  0.5000  0.5000  0.5000



Entry 11:
This record from Alexandria describes Al2Si after structural relaxation. The functional is PBE.

Calculated values
* density of states at the Fermi level: 1.41 states/eV/f.u.
* E_tot: -4.1562 eV per atom

Lattice parameters (Å, degrees): 4.8339 4.8339 4.8339 145.72 131.92 60.37
Fractional coordinates of all 3 atoms:
Al  0.1649  0.1649  0.0000
Al  0.8351  0.8351  0.0000
Si  0.5000  0.5000  0.0000



Entry 12:
This record from Alexandria describes LiAcNd2 after structural relaxation. The functional is PBE.

Calculated values
* density of states at the Fermi level: 6.49 states/eV/f.u.
* E_tot: -3.8191 eV per atom

Lattice parameters (Å, degrees): 3.8570 3.8570 9.0212 90.00 90.00 90.00
Fractional coordinates of all 4 atoms:
Li  0.0000  0.0000  0.0000
Ac  0.0000  0.0000  0.5000
Nd  0.5000  0.5000  0.2114
Nd  0.5000  0.5000  0.7886



> E_tot of number 11 (Al2Si)?

-4.1562 eV per atom



What did the second record say?
This record from Alexandria describes MnZn2Co after structural relaxation. The functional is PBE.

Calculated values
* density of states at the Fermi level: 2.40 states/eV/f.u.
* E_tot: -4.7173 eV per atom

Lattice parameters (Å, degrees): 3.6777 3.6777 3.8233 90.00 90.00 90.00
Fractional coordinates of all 4 atoms:
Mn  0.0000  0.0000  0.0000
Zn  0.0000  0.5000  0.5000
Zn  0.5000  0.0000  0.5000
Co  0.5000  0.5000  0.0000